The following is a DFT calculation (PBE) of an optimized crystal structure of NiBi4Au.

The structure belongs to space group C2/m (No. 12); the cell edges are 12.3726, 8.3294 and 7.1860 Å and the angles 90.00°, 111.40° and 90.00°. Symmetry generates all atoms from Ni at (0.2500, 0.2500, 0.0000), Bi at (0.1058, 0.1977, 0.2020), Bi at (0.1514, 0.5000, 0.7579), Bi at (0.1987, 0.0000, 0.7435) and Au at (0.0000, 0.2316, 0.5000).

Its crystal system is monoclinic. The energy relative to the lowest polymorph listed for this composition comes out at 7.5 kJ per mole of atoms.